Compound: RbCaHBr2
Source: Alexandria via LeMat-Bulk
Functional: GGA-PBE
Structure: relaxed

## Properties
- space group = No. 123
- calculated total energy (eV/atom) = -3.362

Lattice parameters (Å, degrees): 5.856 4.402 5.856 90.00 90.00 90.00
Element x y z (fractional)
H  0.000  0.500  0.000
Ca  0.000  0.000  0.000
Br  0.000  0.000  0.500
Br  0.500  0.000  0.000
Rb  0.500  0.500  0.500